Compound: La2NbCo
Source: Alexandria
Functional: GGA-PBE
Structure: optimized geometry

Cell lengths 6.372, 6.372, 6.372 Å; angles 103.19, 103.19, 122.94 degrees
Element x y z (fractional)
La (0.076, 0.625, 0.951)
La (0.375, 0.326, 0.451)
La (0.674, 0.125, 0.049)
La (0.875, 0.924, 0.549)
Nb (0.250, 0.750, 0.500)
Nb (0.500, 0.500, 0.000)
Co (0.000, 0.000, 0.000)
Co (0.750, 0.250, 0.500)

**E above lowest polymorph**: 32 kJ/mol of formula units
**Calculated formation energy**: 0.553 eV/atom
**Calculated total energy**: -6.205 eV per atom
**N(E_F)**: 10.93 states/eV/cell